(1)
A plane-wave DFT calculation with GGA-PBE was carried out for a relaxed Ho3NiSn3 crystal.

Results
- crystal system = monoclinic

Structure (CIF):
```
data_Ho3NiSn3
_cell_length_a 11.067
_cell_length_b 4.434
_cell_length_c 14.746
_cell_angle_alpha 90.00
_cell_angle_beta 109.45
_cell_angle_gamma 90.00
_symmetry_space_group_name_H-M 'C 1 2/m 1'
_symmetry_Int_Tables_number 12
_symmetry_space_group_name_Hall '-C 2y'
loop_
_atom_site_label
_atom_site_type_symbol
_atom_site_fract_x
_atom_site_fract_y
_atom_site_fract_z
_atom_site_occupancy
Ho1 Ho 0.024 0.000 0.383 1
Ho2 Ho 0.093 0.000 0.919 1
Ho3 Ho 0.242 0.000 0.235 1
Ni1 Ni 0.242 0.500 0.389 1
Sn1 Sn 0.031 0.500 0.240 1
Sn2 Sn 0.133 0.500 0.076 1
Sn3 Sn 0.151 0.500 0.540 1
```


(2)
A plane-wave DFT calculation with GGA-PBE was carried out for a relaxed Ho2Ni2Sn crystal.

Results
- crystal system = tetragonal

Structure (CIF):
```
data_Ho2Ni2Sn
_cell_length_a 7.371
_cell_length_b 7.371
_cell_length_c 3.629
_cell_angle_alpha 90.00
_cell_angle_beta 90.00
_cell_angle_gamma 90.00
_symmetry_space_group_name_H-M 'P 4/m b m'
_symmetry_Int_Tables_number 127
_symmetry_space_group_name_Hall '-P 4 2ab'
loop_
_atom_site_label
_atom_site_type_symbol
_atom_site_fract_x
_atom_site_fract_y
_atom_site_fract_z
_atom_site_occupancy
Ho1 Ho 0.174 0.326 0.000 1
Ni1 Ni 0.120 0.620 0.500 1
Sn1 Sn 0.000 0.000 0.500 1
```


(3)
A plane-wave DFT calculation with GGA-PBE was carried out for a relaxed Ho3NiSn crystal.

Results
- crystal system = orthorhombic

Structure (CIF):
```
data_Ho3NiSn
_cell_length_a 4.634
_cell_length_b 6.642
_cell_length_c 8.404
_cell_angle_alpha 90.00
_cell_angle_beta 90.00
_cell_angle_gamma 90.00
_symmetry_space_group_name_H-M 'P m m n'
_symmetry_Int_Tables_number 59
loop_
_symmetry_equiv_pos_as_xyz
'x,y,z'
'-x,-y,-z'
'-x+1/2,-y+1/2,z'
'x+1/2,y+1/2,-z'
'x+1/2,-y,-z'
'-x+1/2,y,z'
'-x,y+1/2,-z'
'x,-y+1/2,z'
loop_
_atom_site_label
_atom_site_type_symbol
_atom_site_fract_x
_atom_site_fract_y
_atom_site_fract_z
_atom_site_occupancy
Ho1 Ho 0.250 0.001 0.155 1
Ho2 Ho 0.250 0.250 0.581 1
Ni1 Ni 0.250 0.250 0.900 1
Sn1 Sn 0.250 0.750 0.657 1
```


(4)
A plane-wave DFT calculation with GGA-PBE was carried out for a relaxed Ho2NiSn crystal.

Results
- crystal system = monoclinic
- energy above the most stable polymorph in this dataset (kJ/mol of formula units) = 0

Structure (CIF):
```
data_Ho2NiSn
_cell_length_a 6.064
_cell_length_b 4.165
_cell_length_c 8.106
_cell_angle_alpha 90.00
_cell_angle_beta 111.31
_cell_angle_gamma 90.00
_symmetry_space_group_name_H-M 'P 1 21/m 1'
_symmetry_Int_Tables_number 11
_symmetry_space_group_name_Hall '-P 2yb'
loop_
_atom_site_label
_atom_site_type_symbol
_atom_site_fract_x
_atom_site_fract_y
_atom_site_fract_z
_atom_site_occupancy
Ho1 Ho 0.206 0.250 0.450 1
Ho2 Ho 0.223 0.250 0.897 1
Ni1 Ni 0.342 0.750 0.706 1
Sn1 Sn 0.333 0.750 0.208 1
```


(5)
A plane-wave DFT calculation with GGA-PBE was carried out for a relaxed Ho2NiSn crystal.

Results
- crystal system = tetragonal
- energy above the most stable polymorph in this dataset (kJ/mol of formula units) = 23

Structure (CIF):
```
data_Ho2NiSn
_cell_length_a 3.458
_cell_length_b 3.458
_cell_length_c 7.580
_cell_angle_alpha 90.00
_cell_angle_beta 90.00
_cell_angle_gamma 90.00
_symmetry_space_group_name_H-M 'P 4/m m m'
_symmetry_Int_Tables_number 123
_symmetry_space_group_name_Hall '-P 4 2'
loop_
_atom_site_label
_atom_site_type_symbol
_atom_site_fract_x
_atom_site_fract_y
_atom_site_fract_z
_atom_site_occupancy
Ho1 Ho 0.000 0.000 0.213 1
Ni1 Ni 0.500 0.500 0.000 1
Sn1 Sn 0.500 0.500 0.500 1
```


(6)
A plane-wave DFT calculation with GGA-PBE was carried out for a relaxed HoNi12Sn6 crystal.

Results
- crystal system = trigonal

Structure (CIF):
```
data_HoNi12Sn6
_cell_length_a 10.9052
_cell_length_b 10.9052
_cell_length_c 9.0098
_cell_angle_alpha 90.00
_cell_angle_beta 90.00
_cell_angle_gamma 120.00
_symmetry_space_group_name_H-M 'R -3 m'
_symmetry_Int_Tables_number 166
_symmetry_space_group_name_Hall '-R 3 2"'
loop_
_atom_site_label
_atom_site_type_symbol
_atom_site_fract_x
_atom_site_fract_y
_atom_site_fract_z
_atom_site_occupancy
Ho1 Ho 0.0000 0.0000 0.0000 1
Ni1 Ni 0.0000 0.3895 0.5000 1
Ni2 Ni 0.0796 0.1591 0.2662 1
Sn1 Sn 0.0541 0.5270 0.2551 1
```


DFT formation energy / eV/atom: -0.680; -0.606; -0.443; -0.579; -0.519; -0.056